# Pm2Al2Rh

Crystalline Pm2Al2Rh at its relaxed geometry (PBE, Alexandria).

Cell lengths 5.8111, 5.8111, 10.5431 Å; angles 115.31, 115.31, 46.39 degrees
Element x y z (fractional)
Pm 0.0883 0.0883 0.3955
Pm 0.3314 0.3314 0.8224
Pm 0.6686 0.6686 0.1776
Pm 0.9117 0.9117 0.6045
Al 0.0903 0.0903 0.9371
Al 0.3803 0.3803 0.3732
Al 0.6197 0.6197 0.6268
Al 0.9097 0.9097 0.0629
Rh 0.3477 0.3477 0.1182
Rh 0.6523 0.6523 0.8818

Results
Space group   C2/m (12)
Uncorrected energy   -54.91 eV per cell
E above lowest polymorph   0.0 meV per atom
ΔE_f   -623.3 meV/atom


# PmAl10Rh2

Crystalline PmAl10Rh2 at its relaxed geometry (PBE, Alexandria).

Cell lengths 6.8646, 6.8646, 9.2061 Å; angles 90.00, 90.00, 97.41 degrees
Element x y z (fractional)
Pm 0.1269 0.8731 0.7500
Pm 0.8731 0.1269 0.2500
Al 0.1412 0.4039 0.7500
Al 0.1551 0.8449 0.1021
Al 0.1551 0.8449 0.3979
Al 0.2222 0.2222 0.0000
Al 0.2222 0.2222 0.5000
Al 0.2247 0.4807 0.2500
Al 0.3784 0.6216 0.5512
Al 0.3784 0.6216 0.9488
Al 0.4039 0.1412 0.2500
Al 0.4807 0.2247 0.7500
Al 0.5193 0.7753 0.2500
Al 0.5961 0.8588 0.7500
Al 0.6216 0.3784 0.0512
Al 0.6216 0.3784 0.4488
Al 0.7753 0.5193 0.7500
Al 0.7778 0.7778 0.0000
Al 0.7778 0.7778 0.5000
Al 0.8449 0.1551 0.6021
Al 0.8449 0.1551 0.8979
Al 0.8588 0.5961 0.2500
Rh 0.0000 0.5000 0.0000
Rh 0.0000 0.5000 0.5000
Rh 0.5000 0.0000 0.0000
Rh 0.5000 0.0000 0.5000

Results
Space group   Cmcm (63)
Uncorrected energy   -128.62 eV per cell
ΔE_f   -571.6 meV/atom